## KLa3Tc (PBEsol)

Data for a relaxed structure of KLa3Tc.

**Total moment**: 0.0 μB/f.u.
**Energy of formation**: 0.22 eV per atom
**D(E_F)**: 5.15 states/eV/cell

Cell lengths 5.605, 5.605, 5.605 Å; angles 90.00, 90.00, 90.00 degrees
Positions (direct):
K 0.500 0.500 0.500
Tc 0.000 0.000 0.000
La 0.000 0.500 0.000
La 0.000 0.000 0.500
La 0.500 0.000 0.000

## BeAu2F (PBEsol)

Data for a relaxed structure of BeAu2F.

**Total moment**: 0.0 μB/f.u.
**E_form (uncorrected)**: -0.223 eV per atom
**D(E_F)**: 1.45 states/eV/cell

Cell lengths 4.177, 4.177, 4.177 Å; angles 60.00, 60.00, 60.00 degrees
Positions (direct):
Be 0.000 0.000 0.000
Au 0.250 0.250 0.250
Au 0.750 0.750 0.750
F 0.500 0.500 0.500

## Be2CdRh2 (PBEsol)

Data for a relaxed structure of Be2CdRh2.

**Total moment**: 0.0 μB/f.u.
**Energy of formation**: -0.43 eV per atom
**D(E_F)**: 2.91 states/eV/cell

Cell lengths 2.910, 6.417, 6.417 Å; angles 90.00, 90.00, 90.00 degrees
Positions (direct):
Be 0.000 0.376 0.876
Be 0.000 0.876 0.624
Be 0.000 0.624 0.124
Be 0.000 0.124 0.376
Rh 0.500 0.161 0.661
Rh 0.500 0.661 0.839
Rh 0.500 0.839 0.339
Rh 0.500 0.339 0.161
Cd 0.000 0.000 0.000
Cd 0.000 0.500 0.500

## KLiCd2 (PBEsol)

Data for a relaxed structure of KLiCd2.

**Total moment**: 0.0 μB/f.u.
**Energy of formation**: -0.06 eV per atom
**D(E_F)**: 1.55 states/eV/cell
**Distance to the lowest polymorph of the same formula**: 0 meV per atom

Cell lengths 3.542, 3.542, 8.206 Å; angles 90.00, 90.00, 90.00 degrees
Positions (direct):
K 0.500 0.500 0.000
Cd 0.000 0.000 0.678
Cd 0.000 0.000 0.322
Li 0.500 0.500 0.500